# 1
Compound: LiCeY2Tl4
Source: Alexandria via LeMat-Bulk
Functional: PBE
Structure: optimized geometry

## Properties
Space group   R-3m
Energy of formation   -0.30 eV/atom
Magnetization   0.888 μB/cell
Calculated volume   27.07 Å³ per atom

a = 9.514 Å, b = 9.514 Å, c = 9.514 Å
α = 32.14°, β = 32.14°, γ = 32.14°
Fractional coordinates of all 8 atoms:
Li (0.000, 0.000, 0.000)
Ce (0.500, 0.500, 0.500)
Y (0.256, 0.256, 0.256)
Y (0.744, 0.744, 0.744)
Tl (0.122, 0.122, 0.122)
Tl (0.372, 0.372, 0.372)
Tl (0.628, 0.628, 0.628)
Tl (0.878, 0.878, 0.878)

=====

# 2
Compound: Li2CeYTl4
Source: Alexandria via LeMat-Bulk
Functional: PBE
Structure: optimized geometry

## Properties
Space group   R-3m
Energy of formation   -0.29 eV/atom
Magnetization   1.037 μB/cell
Calculated volume   25.47 Å³ per atom

a = 9.097 Å, b = 9.097 Å, c = 9.097 Å
α = 33.46°, β = 33.46°, γ = 33.46°
Fractional coordinates of all 8 atoms:
Li (0.249, 0.249, 0.249)
Li (0.751, 0.751, 0.751)
Ce (0.000, 0.000, 0.000)
Y (0.500, 0.500, 0.500)
Tl (0.126, 0.126, 0.126)
Tl (0.377, 0.377, 0.377)
Tl (0.623, 0.623, 0.623)
Tl (0.874, 0.874, 0.874)

=====

# 3
Compound: LiCeTm2
Source: Alexandria via LeMat-Bulk
Functional: PBE
Structure: optimized geometry

## Properties
Space group   R-3m
Energy of formation   0.20 eV/atom
Magnetization   0.264 μB/cell
Relative energy among the computed polymorphs   32 kJ/mol of formula units
Calculated volume   29.25 Å³ per atom

a = 11.929 Å, b = 11.929 Å, c = 11.929 Å
α = 16.33°, β = 16.33°, γ = 16.33°
Fractional coordinates of all 4 atoms:
Li (0.000, 0.000, 0.000)
Ce (0.500, 0.500, 0.500)
Tm (0.089, 0.089, 0.089)
Tm (0.911, 0.911, 0.911)

=====

# 4
Compound: LiCeTm2
Source: Alexandria via LeMat-Bulk
Functional: PBE
Structure: optimized geometry

## Properties
Space group   R3m
Energy of formation   0.14 eV/atom
Magnetization   0.593 μB/cell
Relative energy among the computed polymorphs   11 kJ/mol of formula units
Calculated volume   27.79 Å³ per atom

a = 11.360 Å, b = 11.360 Å, c = 11.360 Å
α = 17.14°, β = 17.14°, γ = 17.14°
Fractional coordinates of all 4 atoms:
Li (0.000, 0.000, 0.000)
Ce (0.166, 0.166, 0.166)
Tm (0.414, 0.414, 0.414)
Tm (0.585, 0.585, 0.585)